No. 1
# LaRh3F

An optimized crystal structure of LaRh3F (PBE, Alexandria via LeMat-Bulk).

The value obtained for the energy above the most stable polymorph in this dataset is 1084.0 meV per atom.

The structure belongs to space group Pm-3m (No. 221); the cell edges are 4.9241, 4.9241 and 4.9241 Å and the angles 90.00°, 90.00° and 90.00°. The asymmetric unit holds La at (0.0000, 0.0000, 0.0000), Rh at (0.0000, 0.0000, 0.5000) and F at (0.5000, 0.5000, 0.5000).

No. 2
# La2RhF

An optimized crystal structure of La2RhF (PBE, Alexandria via LeMat-Bulk).

The value obtained for the energy above the most stable polymorph in this dataset is 0.0 meV per atom.

The structure belongs to space group R-3m (No. 166, hexagonal axes); the cell edges are 4.2718, 4.2718 and 23.3215 Å and the angles 90.00°, 90.00° and 120.00°. The asymmetric unit holds La at (0.0000, 0.0000, 0.1010), Rh at (0.0000, 0.0000, 0.5000) and F at (0.0000, 0.0000, 0.0000).

No. 3
# LaSiRh2F

An optimized crystal structure of LaSiRh2F (PBE, Alexandria via LeMat-Bulk).

The structure belongs to space group P4/mmm (No. 123); the cell edges are 4.6349, 4.6349 and 4.1007 Å and the angles 90.00°, 90.00° and 90.00°. The asymmetric unit holds La at (0.0000, 0.0000, 0.0000), Si at (0.5000, 0.5000, 0.0000), Rh at (0.0000, 0.5000, 0.5000) and F at (0.5000, 0.5000, 0.5000).

No. 4
# LaTlRh2F

An optimized crystal structure of LaTlRh2F (PBE, Alexandria via LeMat-Bulk).

The value obtained for the energy above the most stable polymorph in this dataset is 711.4 meV per atom.

The structure belongs to space group P4/mmm (No. 123); the cell edges are 4.9306, 4.9306 and 6.1452 Å and the angles 90.00°, 90.00° and 90.00°. The asymmetric unit holds La at (0.0000, 0.0000, 0.0000), Tl at (0.0000, 0.0000, 0.5000), Rh at (0.0000, 0.5000, 0.5000) and F at (0.5000, 0.5000, 0.0000).

No. 5
# LaTlRh2F

An optimized crystal structure of LaTlRh2F (PBE, Alexandria via LeMat-Bulk).

The value obtained for the energy above the most stable polymorph in this dataset is 0.0 meV per atom.

The structure belongs to space group P4/mmm (No. 123); the cell edges are 5.0281, 5.0281 and 4.6226 Å and the angles 90.00°, 90.00° and 90.00°. The asymmetric unit holds La at (0.0000, 0.0000, 0.0000), Tl at (0.5000, 0.5000, 0.5000), Rh at (0.0000, 0.5000, 0.5000) and F at (0.5000, 0.5000, 0.0000).

Number 1: total energy -4.770 eV/atom. Number 2: total energy -6.507 eV/atom. Number 3: total energy -5.639 eV/atom. Number 4: total energy -4.317 eV/atom. Number 5: total energy -5.028 eV/atom.